DFT (PBE) results for YTa2H after structural relaxation.

Unit cell a=4.664 b=4.664 c=4.664 alpha=60.00 beta=60.00 gamma=60.00
Element x y z (fractional)
1 Ta 0.250 0.250 0.250
2 Ta 0.750 0.750 0.750
3 Y 0.500 0.500 0.500
4 H 0.000 0.000 0.000

Values from the calculation:
Space-group type   Fm-3m
V   17.940 A^3/atom
DOS(E_F)   4.30 states/eV/cell
Energy   -27.36 eV per cell

---

DFT (PBE) results for YTaH2 after structural relaxation.

Unit cell a=4.183 b=4.183 c=4.183 alpha=60.00 beta=60.00 gamma=60.00
Element x y z (fractional)
1 H 0.250 0.250 0.250
2 H 0.750 0.750 0.750
3 Y 0.000 0.000 0.000
4 Ta 0.500 0.500 0.500

Values from the calculation:
Space-group type   Fm-3m
V   12.937 A^3/atom
DOS(E_F)   2.63 states/eV/cell
Energy   -22.62 eV per cell

---

DFT (PBE) results for Y3Ta5H12 after structural relaxation.

Unit cell a=10.232 b=10.232 c=10.232 alpha=109.47 beta=109.47 gamma=109.47
Element x y z (fractional)
1 H 0.713 0.134 0.049
2 H 0.164 0.084 0.951
3 H 0.416 0.049 0.336
4 H 0.084 0.164 0.451
5 H 0.549 0.336 0.916
6 H 0.366 0.951 0.787
7 H 0.836 0.916 0.049
8 H 0.579 0.713 0.664
9 H 0.787 0.451 0.366
10 H 0.951 0.366 0.287
11 H 0.713 0.579 0.164
12 H 0.164 0.079 0.713
13 H 0.451 0.787 0.866
14 H 0.134 0.421 0.084
15 H 0.866 0.287 0.451
16 H 0.336 0.787 0.421
17 H 0.866 0.579 0.916
18 H 0.584 0.634 0.421
19 H 0.084 0.921 0.134
20 H 0.634 0.584 0.921
21 H 0.584 0.951 0.664
22 H 0.366 0.416 0.079
23 H 0.916 0.836 0.549
24 H 0.287 0.421 0.836
25 H 0.079 0.164 0.213
26 H 0.213 0.664 0.079
27 H 0.421 0.134 0.584
28 H 0.213 0.549 0.634
29 H 0.416 0.366 0.579
30 H 0.664 0.451 0.584
31 H 0.951 0.584 0.164
32 H 0.921 0.836 0.787
33 H 0.916 0.079 0.866
34 H 0.787 0.336 0.921
35 H 0.049 0.416 0.836
36 H 0.549 0.213 0.134
37 H 0.049 0.634 0.713
38 H 0.634 0.049 0.213
39 H 0.421 0.287 0.336
40 H 0.287 0.866 0.951
41 H 0.836 0.921 0.287
42 H 0.451 0.664 0.084
43 H 0.134 0.713 0.549
44 H 0.664 0.213 0.579
45 H 0.079 0.916 0.366
46 H 0.336 0.549 0.416
47 H 0.921 0.084 0.634
48 H 0.579 0.866 0.416
49 Y 0.125 0.875 0.750
50 Y 0.875 0.125 0.250
51 Y 0.625 0.250 0.375
52 Y 0.375 0.750 0.625
53 Y 0.750 0.375 0.125
54 Y 0.875 0.750 0.125
55 Y 0.375 0.625 0.250
56 Y 0.250 0.625 0.875
57 Y 0.250 0.125 0.375
58 Y 0.750 0.875 0.625
59 Y 0.625 0.375 0.750
60 Y 0.125 0.250 0.875
61 Ta 0.375 0.250 0.125
62 Ta 0.125 0.750 0.375
63 Ta 0.875 0.250 0.625
64 Ta 0.625 0.750 0.875
65 Ta 0.000 0.000 0.500
66 Ta 0.500 0.500 0.000
67 Ta 0.500 0.000 0.500
68 Ta 0.000 0.000 0.000
69 Ta 0.000 0.500 0.500
70 Ta 0.500 0.500 0.500
71 Ta 0.500 0.000 0.000
72 Ta 0.000 0.500 0.000
73 Ta 0.625 0.875 0.250
74 Ta 0.375 0.125 0.750
75 Ta 0.250 0.375 0.625
76 Ta 0.750 0.125 0.875
77 Ta 0.750 0.625 0.375
78 Ta 0.125 0.375 0.250
79 Ta 0.875 0.625 0.750
80 Ta 0.250 0.875 0.125

Values from the calculation:
Space-group type   Ia-3d
V   10.309 A^3/atom
DOS(E_F)   38.35 states/eV/cell
Energy   -494.62 eV per cell

---

DFT (PBE) results for TaZn2H2 after structural relaxation.

Unit cell a=5.467 b=5.467 c=3.854 alpha=90.00 beta=90.00 gamma=90.00
Element x y z (fractional)
1 Zn 0.734 0.234 0.500
2 Zn 0.266 0.766 0.500
3 Zn 0.766 0.734 0.500
4 Zn 0.234 0.266 0.500
5 H 0.817 0.683 0.000
6 H 0.317 0.817 0.000
7 H 0.683 0.183 0.000
8 H 0.183 0.317 0.000
9 Ta 0.000 0.000 0.000
10 Ta 0.500 0.500 0.000

Values from the calculation:
Space-group type   P4/mbm
V   11.519 A^3/atom
DOS(E_F)   4.19 states/eV/cell
Energy   -40.79 eV per cell

---

DFT (PBE) results for TaZn2H after structural relaxation.

Unit cell a=4.337 b=4.337 c=4.337 alpha=60.00 beta=60.00 gamma=60.00
Element x y z (fractional)
1 Zn 0.750 0.750 0.750
2 Zn 0.250 0.250 0.250
3 H 0.000 0.000 0.000
4 Ta 0.500 0.500 0.500

Values from the calculation:
Space-group type   Fm-3m
V   14.422 A^3/atom
DOS(E_F)   1.09 states/eV/cell
Energy   -13.74 eV per cell

---

DFT (PBE) results for TaZnH2 after structural relaxation.

Unit cell a=3.082 b=3.082 c=5.413 alpha=73.46 beta=73.46 gamma=60.00
Element x y z (fractional)
1 H 0.051 0.051 0.847
2 H 0.283 0.283 0.150
3 Ta 0.673 0.673 0.982
4 Zn 0.493 0.493 0.522

Values from the calculation:
Space-group type   R3m
V   10.514 A^3/atom
DOS(E_F)   1.70 states/eV/cell
Energy   -19.67 eV per cell

---

DFT (PBE) results for TaZn3H after structural relaxation.

Unit cell a=3.993 b=3.993 c=3.993 alpha=90.00 beta=90.00 gamma=90.00
Element x y z (fractional)
1 Ta 0.500 0.500 0.500
2 H 0.000 0.000 0.000
3 Zn 0.500 0.000 0.000
4 Zn 0.000 0.000 0.500
5 Zn 0.000 0.500 0.000

Values from the calculation:
Space-group type   Pm-3m
V   12.732 A^3/atom
DOS(E_F)   2.91 states/eV/cell
Energy   -17.47 eV per cell

---

DFT (PBE) results for TaZnH2 after structural relaxation.

Unit cell a=4.298 b=4.298 c=5.369 alpha=66.41 beta=66.41 gamma=90.00
Element x y z (fractional)
1 Zn 0.250 0.750 0.500
2 Zn 0.500 0.500 0.000
3 H 0.375 0.365 0.750
4 H 0.635 0.125 0.250
5 H 0.875 0.885 0.750
6 H 0.115 0.625 0.250
7 Ta 0.750 0.250 0.500
8 Ta 0.000 0.000 0.000

Values from the calculation:
Space-group type   I-42d
V   10.220 A^3/atom
DOS(E_F)   2.67 states/eV/cell
Energy   -37.94 eV per cell

---

DFT (PBE) results for TaZnH2 after structural relaxation.

Unit cell a=3.752 b=3.752 c=3.752 alpha=60.00 beta=60.00 gamma=60.00
Element x y z (fractional)
1 Ta 0.500 0.500 0.500
2 H 0.250 0.250 0.250
3 H 0.750 0.750 0.750
4 Zn 0.000 0.000 0.000

Values from the calculation:
Space-group type   Fm-3m
V   9.336 A^3/atom
DOS(E_F)   2.26 states/eV/cell
Energy   -17.64 eV per cell

---

DFT (PBE) results for TaZn2H2 after structural relaxation.

Unit cell a=2.835 b=2.835 c=7.171 alpha=78.60 beta=78.60 gamma=90.00
Element x y z (fractional)
1 Ta 0.000 0.000 0.000
2 Zn 0.652 0.652 0.697
3 Zn 0.348 0.348 0.303
4 H 0.250 0.750 0.500
5 H 0.750 0.250 0.500

Values from the calculation:
Space-group type   I4/mmm
V   11.067 A^3/atom
DOS(E_F)   3.60 states/eV/cell
Energy   -19.26 eV per cell

---

DFT (PBE) results for TaZn3H after structural relaxation.

Unit cell a=5.250 b=5.250 c=5.250 alpha=90.00 beta=90.00 gamma=90.00
Element x y z (fractional)
1 H 0.500 0.500 0.500
2 Zn 0.500 0.000 0.000
3 Zn 0.000 0.500 0.000
4 Zn 0.000 0.000 0.500
5 Ta 0.000 0.000 0.000

Values from the calculation:
Space-group type   Pm-3m
V   28.940 A^3/atom
DOS(E_F)   4.60 states/eV/cell
Energy   -11.29 eV per cell

---

DFT (PBE) results for Ta3ZnH3 after structural relaxation.

Unit cell a=5.388 b=5.388 c=5.388 alpha=90.00 beta=90.00 gamma=90.00
Element x y z (fractional)
1 H 0.500 0.750 0.000
2 H 0.000 0.500 0.250
3 H 0.500 0.250 0.000
4 H 0.250 0.000 0.500
5 H 0.750 0.000 0.500
6 H 0.000 0.500 0.750
7 Ta 0.250 0.500 0.000
8 Ta 0.750 0.500 0.000
9 Ta 0.500 0.000 0.750
10 Ta 0.500 0.000 0.250
11 Ta 0.000 0.750 0.500
12 Ta 0.000 0.250 0.500
13 Zn 0.000 0.000 0.000
14 Zn 0.500 0.500 0.500

Values from the calculation:
Space-group type   Pm-3n
V   11.174 A^3/atom
DOS(E_F)   6.54 states/eV/cell
Energy   -94.59 eV per cell